No. 1
First-principles (PBE-GGA) data for La2SbOs after structural relaxation, as listed in the Alexandria database.

Lattice parameters (Å, degrees): 8.052 8.052 8.052 30.76 30.76 30.76
Atoms (fractional coordinates):
Sb 0.750 0.750 0.750
Os 0.250 0.250 0.250
La 0.984 0.984 0.984
La 0.516 0.516 0.516

Symmetry: No. 166
Uncorrected energy, eV per atom: -6.570
Formation energy without anion corrections, kcal/mol of atoms: -6.18
Total magnetization, Bohr magnetons per cell: 0.0

No. 2
First-principles (PBE-GGA) data for La2SbOs after structural relaxation, as listed in the Alexandria database.

Lattice parameters (Å, degrees): 5.001 5.001 4.147 90.00 90.00 90.00
Atoms (fractional coordinates):
La 0.000 0.000 0.000
Os 0.500 0.000 0.500
La 0.500 0.500 0.000
Sb 0.000 0.500 0.500

Symmetry: No. 123
Uncorrected energy, eV per atom: -6.603
Formation energy without anion corrections, kcal/mol of atoms: -6.95
Total magnetization, Bohr magnetons per cell: 0.0

No. 3
First-principles (PBE-GGA) data for La2SbOs after structural relaxation, as listed in the Alexandria database.

Lattice parameters (Å, degrees): 8.311 8.311 6.718 51.79 51.79 90.00
Atoms (fractional coordinates):
Sb 0.250 0.750 0.500
Sb 0.500 0.500 0.000
Os 0.750 0.250 0.500
La 0.064 0.625 0.250
Os 0.000 0.000 0.000
La 0.875 0.936 0.750
La 0.375 0.314 0.750
La 0.686 0.125 0.250

Symmetry: No. 122
Uncorrected energy, eV per atom: -6.566
Formation energy without anion corrections, kcal/mol of atoms: -6.09
Total magnetization, Bohr magnetons per cell: 0.0

No. 4
First-principles (PBE-GGA) data for La2SbOs after structural relaxation, as listed in the Alexandria database.

Lattice parameters (Å, degrees): 6.869 6.869 6.869 150.05 137.87 52.55
Atoms (fractional coordinates):
La 0.704 0.204 0.500
La 0.995 0.995 0.000
Os 0.488 0.488 0.000
Sb 0.313 0.813 0.500

Symmetry: No. 44
Uncorrected energy, eV per atom: -6.694
Formation energy without anion corrections, kcal/mol of atoms: -9.04
Total magnetization, Bohr magnetons per cell: 0.0